--- P ---
The following is a DFT calculation (PBE-GGA) of a relaxed CdSnHgTe3 crystal.

Geometry as POSCAR:
```
CdSnHgTe3
1.0
2.1596 -8.0355 0.0000
2.1596 8.0355 0.0000
0.0000 0.0000 10.6958
Cd Sn Hg Te
2 2 2 6
direct
0.0354 0.9646 0.7500
0.9646 0.0354 0.2500
0.2650 0.7350 0.2500
0.7350 0.2650 0.7500
0.5000 0.5000 0.0000
0.5000 0.5000 0.5000
0.1595 0.8405 0.5611
0.1595 0.8405 0.9389
0.4181 0.5819 0.7500
0.5819 0.4181 0.2500
0.8405 0.1595 0.0611
0.8405 0.1595 0.4389
```

=====

--- Q ---
The following is a DFT calculation (PBE-GGA) of a relaxed CdSnHgTe3 crystal.

Geometry as POSCAR:
```
CdSnHgTe3
1.0
2.1594 -7.1730 0.0000
2.1594 7.1730 0.0000
0.0000 0.0000 11.8286
Cd Sn Hg Te
2 2 2 6
direct
0.0000 0.0000 0.0000
0.0000 0.0000 0.5000
0.2276 0.7724 0.7500
0.7724 0.2276 0.2500
0.4756 0.5244 0.2500
0.5244 0.4756 0.7500
0.1104 0.8896 0.2500
0.3571 0.6429 0.0586
0.3571 0.6429 0.4414
0.6429 0.3571 0.5586
0.6429 0.3571 0.9414
0.8896 0.1104 0.7500
```

=====

The energy of each structure relative to the most stable one, in kJ/mol of atoms, is as follows: P 2.3; Q 0.0.